[1]
An optimized crystal structure of HoNiOs. Source: Alexandria via LeMat-Bulk, functional PBE-GGA.

```
HoNiOs
1.0
6.9401 0.0000 0.0000
0.0000 6.9401 0.0000
0.0000 0.0000 5.2059
Ni Os Ho
4 4 4
Direct
0.2920 0.2920 0.0000
0.7080 0.7080 0.5000
0.2080 0.7920 0.2500
0.7920 0.2080 0.7500
0.5480 0.4520 0.7500
0.9520 0.9520 0.5000
0.0480 0.0480 0.0000
0.4520 0.5480 0.2500
0.7355 0.2645 0.2500
0.7645 0.7645 0.0000
0.2355 0.2355 0.5000
0.2645 0.7355 0.7500
```

Values from the calculation:
Calculated formation energy in meV/atom: 122
Space-group type: P4_12_12, No. 92
Polymorph energy (0 for the lowest one) in kJ/mol of formula units: 149
Electronic total energy in eV per atom: -7.074
Theoretical density in Mg/m³: 10.96

***

[2]
An optimized crystal structure of TbReIr. Source: Alexandria via LeMat-Bulk, functional PBE-GGA.

```
TbReIr
1.0
4.5442 0.0000 0.0000
0.0000 6.6542 0.0000
0.0000 -3.3271 5.7627
Ir Tb Re
3 3 3
Direct
0.5000 0.6667 0.3333
0.5000 0.3333 0.6667
0.0000 0.0000 0.0000
0.0000 0.5790 0.5790
0.0000 0.0000 0.4210
0.0000 0.4210 0.0000
0.5000 0.0000 0.7675
0.5000 0.7675 0.0000
0.5000 0.2325 0.2325
```

Values from the calculation:
Calculated formation energy in meV/atom: -251
Space-group type: P-62m, No. 189
Electronic total energy in eV per atom: -8.897
Theoretical density in Mg/m³: 15.36

***

[3]
An optimized crystal structure of CaIr2Br. Source: Alexandria via LeMat-Bulk, functional PBE-GGA.

```
CaIr2Br
1.0
-2.1128 2.2785 -0.1233
-0.6374 -0.8476 -4.7411
-3.7698 -3.4349 1.1209
Ca Ir Br
1 2 1
Direct
0.5000 0.5000 0.7500
0.0000 0.0000 0.9915
0.0000 0.0000 0.5085
0.5000 0.5000 0.2500
```

Values from the calculation:
Space-group type: Pmmm, No. 47
Polymorph energy (0 for the lowest one) in kJ/mol of formula units: 272
Electronic total energy in eV per atom: -4.898
Theoretical density in Mg/m³: 10.62

***

[4]
An optimized crystal structure of Na2VCrN. Source: Alexandria via LeMat-Bulk, functional PBE-GGA.

```
Na2VCrN
1.0
5.5351 0.0000 0.0000
0.0000 4.3195 0.0000
0.0000 0.0000 5.5351
Cr N Na V
1 1 2 1
Direct
0.0000 0.0000 0.0000
0.5000 0.5000 0.5000
0.0000 0.0000 0.5000
0.5000 0.0000 0.0000
0.0000 0.5000 0.0000
```

Values from the calculation:
Space-group type: P4/mmm, No. 123
Electronic total energy in eV per atom: -4.012
Theoretical density in Mg/m³: 2.04

***

[5]
An optimized crystal structure of Ho2Tl2Cd. Source: Alexandria via LeMat-Bulk, functional PBE-GGA.

```
Ho2Tl2Cd
1.0
6.4329 0.0000 0.0000
0.0000 6.2958 0.0000
-3.2165 -3.1479 6.8742
Ho Tl Cd
4 4 2
Direct
0.3234 0.5126 0.6467
0.6766 0.4874 0.3533
0.1766 0.8659 0.3533
0.8234 0.1341 0.6467
0.9036 0.7501 0.8071
0.0964 0.2499 0.1929
0.5964 0.9429 0.1929
0.4036 0.0571 0.8071
0.7500 0.5000 0.0000
0.2500 0.5000 0.0000
```

Values from the calculation:
Calculated formation energy in meV/atom: -110
Space-group type: Ibam, No. 72
Polymorph energy (0 for the lowest one) in kJ/mol of formula units: 70
Electronic total energy in eV per atom: -3.071
Theoretical density in Mg/m³: 10.15

***

[6]
An optimized crystal structure of SrSc3Te. Source: Alexandria via LeMat-Bulk, functional PBE-GGA.

```
SrSc3Te
1.0
-3.7959 2.8636 -2.4086
-2.8121 -4.4466 -0.8548
-2.4686 0.6620 4.6774
Sc Sr Te
3 1 1
Direct
0.0000 0.5000 0.0000
0.0000 0.0000 0.5000
0.5000 0.0000 0.0000
0.0000 0.0000 0.0000
0.5000 0.5000 0.5000
```

Values from the calculation:
Space-group type: Pm-3m, No. 221
Polymorph energy (0 for the lowest one) in kJ/mol of formula units: 552
Electronic total energy in eV per atom: -3.623
Theoretical density in Mg/m³: 3.84

***

Question: Which of these has the highest theoretical density?
Answer: TbReIr

***

Question: Number 4 is which compound?
Answer: Na2VCrN

***

Question: theoretical density of number 5 (Ho2Tl2Cd)?
Answer: 10.15 Mg/m³